DFT (PBEsol) results for a relaxed Sc2MnTc crystal.

Summary:
DFT formation energy = -42 meV per atom
Crystal system = tetragonal

```
data_Sc2MnTc
_space_group_name_H-M_alt 'P 4 m m'
_space_group_IT_number 99
_cell_length_a 2.924
_cell_length_b 2.924
_cell_length_c 8.042
_cell_angle_alpha 90.00
_cell_angle_beta 90.00
_cell_angle_gamma 90.00
loop_
_space_group_symop_operation_xyz
'x,y,z'
'-y,x,z'
'-x,-y,z'
'y,-x,z'
'-x,y,z'
'y,x,z'
'x,-y,z'
'-y,-x,z'
loop_
_atom_site_label
_atom_site_type_symbol
_atom_site_fract_x
_atom_site_fract_y
_atom_site_fract_z
Sc1 Sc 0.000 0.000 0.000
Sc2 Sc 0.500 0.500 0.367
Mn1 Mn 0.500 0.500 0.772
Tc1 Tc 0.000 0.000 0.612
```


DFT (PBEsol) results for a relaxed In3GePd crystal.

Summary:
DFT formation energy = 179 meV per atom
Crystal system = cubic

```
data_In3GePd
_space_group_name_H-M_alt 'P m -3 m'
_space_group_IT_number 221
_space_group_name_Hall '-P 4 2 3'
_cell_length_a 5.053
_cell_length_b 5.053
_cell_length_c 5.053
_cell_angle_alpha 90.00
_cell_angle_beta 90.00
_cell_angle_gamma 90.00
loop_
_atom_site_label
_atom_site_type_symbol
_atom_site_fract_x
_atom_site_fract_y
_atom_site_fract_z
In1 In 0.000 0.000 0.500
Ge1 Ge 0.500 0.500 0.500
Pd1 Pd 0.000 0.000 0.000
```


DFT (PBEsol) results for a relaxed YBe2Cu crystal.

Summary:
DFT formation energy = 84 meV per atom
Crystal system = orthorhombic
Excess energy over the best structure of this formula in the dataset = 197.8 meV per atom

```
data_YBe2Cu
_space_group_name_H-M_alt 'I m m m'
_space_group_IT_number 71
_space_group_name_Hall '-I 2 2'
_cell_length_a 4.172
_cell_length_b 4.380
_cell_length_c 6.024
_cell_angle_alpha 90.00
_cell_angle_beta 90.00
_cell_angle_gamma 90.00
loop_
_atom_site_label
_atom_site_type_symbol
_atom_site_fract_x
_atom_site_fract_y
_atom_site_fract_z
Y1 Y 0.000 0.000 0.000
Be1 Be 0.000 0.500 0.232
Cu1 Cu 0.000 0.000 0.500
```


DFT (PBEsol) results for a relaxed CdTc2Ag crystal.

Summary:
DFT formation energy = 576 meV per atom
Crystal system = cubic

```
data_CdTc2Ag
_space_group_name_H-M_alt 'F -4 3 m'
_space_group_IT_number 216
_space_group_name_Hall 'F -4 2 3'
_cell_length_a 6.314
_cell_length_b 6.314
_cell_length_c 6.314
_cell_angle_alpha 90.00
_cell_angle_beta 90.00
_cell_angle_gamma 90.00
loop_
_atom_site_label
_atom_site_type_symbol
_atom_site_fract_x
_atom_site_fract_y
_atom_site_fract_z
Cd1 Cd 0.000 0.000 0.000
Tc1 Tc 0.000 0.000 0.500
Tc2 Tc 0.250 0.250 0.750
Ag1 Ag 0.250 0.250 0.250
```


DFT (PBEsol) results for a relaxed Pr2Pd2Pb crystal.

Summary:
DFT formation energy = -769 meV per atom
Crystal system = tetragonal

```
data_Pr2Pd2Pb
_space_group_name_H-M_alt 'P 4/m b m'
_space_group_IT_number 127
_space_group_name_Hall '-P 4 2ab'
_cell_length_a 7.866
_cell_length_b 7.866
_cell_length_c 3.831
_cell_angle_alpha 90.00
_cell_angle_beta 90.00
_cell_angle_gamma 90.00
loop_
_atom_site_label
_atom_site_type_symbol
_atom_site_fract_x
_atom_site_fract_y
_atom_site_fract_z
Pr1 Pr 0.177 0.323 0.000
Pd1 Pd 0.124 0.624 0.500
Pb1 Pb 0.000 0.000 0.500
```


DFT (PBEsol) results for a relaxed Li2InSi crystal.

Summary:
Crystal system = orthorhombic

```
data_Li2InSi
_space_group_name_H-M_alt 'C m m m'
_space_group_IT_number 65
_space_group_name_Hall '-C 2 2'
_cell_length_a 5.665
_cell_length_b 8.419
_cell_length_c 2.781
_cell_angle_alpha 90.00
_cell_angle_beta 90.00
_cell_angle_gamma 90.00
loop_
_atom_site_label
_atom_site_type_symbol
_atom_site_fract_x
_atom_site_fract_y
_atom_site_fract_z
Li1 Li 0.250 0.250 0.000
In1 In 0.000 0.000 0.500
Si1 Si 0.000 0.500 0.500
```


DFT (PBEsol) results for a relaxed KLiRu crystal.

Summary:
DFT formation energy = 863 meV per atom
Crystal system = orthorhombic
Excess energy over the best structure of this formula in the dataset = 0.0 meV per atom

```
data_KLiRu
_space_group_name_H-M_alt 'I m m 2'
_space_group_IT_number 44
_cell_length_a 2.565
_cell_length_b 4.368
_cell_length_c 11.344
_cell_angle_alpha 90.00
_cell_angle_beta 90.00
_cell_angle_gamma 90.00
loop_
_space_group_symop_operation_xyz
'x,y,z'
'-x,-y,z'
'-x,y,z'
'x,-y,z'
'x+1/2,y+1/2,z+1/2'
'-x+1/2,-y+1/2,z+1/2'
'-x+1/2,y+1/2,z+1/2'
'x+1/2,-y+1/2,z+1/2'
loop_
_atom_site_label
_atom_site_type_symbol
_atom_site_fract_x
_atom_site_fract_y
_atom_site_fract_z
K1 K 0.000 0.000 0.000
Li1 Li 0.000 0.000 0.726
Ru1 Ru 0.000 0.000 0.293
```


DFT (PBEsol) results for a relaxed CuTeMoI2 crystal.

Summary:
Crystal system = tetragonal
Excess energy over the best structure of this formula in the dataset = 193.8 meV per atom

```
data_CuTeMoI2
_space_group_name_H-M_alt 'P 4/m m m'
_space_group_IT_number 123
_space_group_name_Hall '-P 4 2'
_cell_length_a 5.175
_cell_length_b 5.175
_cell_length_c 5.200
_cell_angle_alpha 90.00
_cell_angle_beta 90.00
_cell_angle_gamma 90.00
loop_
_atom_site_label
_atom_site_type_symbol
_atom_site_fract_x
_atom_site_fract_y
_atom_site_fract_z
Cu1 Cu 0.000 0.000 0.000
Te1 Te 0.000 0.000 0.500
Mo1 Mo 0.500 0.500 0.500
I1 I 0.000 0.500 0.000
```


DFT (PBEsol) results for a relaxed SrLa3Se crystal.

Summary:
Crystal system = cubic

```
data_SrLa3Se
_space_group_name_H-M_alt 'P m -3 m'
_space_group_IT_number 221
_space_group_name_Hall '-P 4 2 3'
_cell_length_a 5.777
_cell_length_b 5.777
_cell_length_c 5.777
_cell_angle_alpha 90.00
_cell_angle_beta 90.00
_cell_angle_gamma 90.00
loop_
_atom_site_label
_atom_site_type_symbol
_atom_site_fract_x
_atom_site_fract_y
_atom_site_fract_z
Sr1 Sr 0.000 0.000 0.000
La1 La 0.000 0.500 0.500
Se1 Se 0.500 0.500 0.500
```


DFT (PBEsol) results for a relaxed YSc2Fe crystal.

Summary:
DFT formation energy = 61 meV per atom
Crystal system = tetragonal
Excess energy over the best structure of this formula in the dataset = 102.5 meV per atom

```
data_YSc2Fe
_space_group_name_H-M_alt 'P 4 m m'
_space_group_IT_number 99
_cell_length_a 3.197
_cell_length_b 3.197
_cell_length_c 8.210
_cell_angle_alpha 90.00
_cell_angle_beta 90.00
_cell_angle_gamma 90.00
loop_
_space_group_symop_operation_xyz
'x,y,z'
'-y,x,z'
'-x,-y,z'
'y,-x,z'
'-x,y,z'
'y,x,z'
'x,-y,z'
'-y,-x,z'
loop_
_atom_site_label
_atom_site_type_symbol
_atom_site_fract_x
_atom_site_fract_y
_atom_site_fract_z
Y1 Y 0.000 0.000 0.000
Sc1 Sc 0.000 0.000 0.626
Sc2 Sc 0.500 0.500 0.329
Fe1 Fe 0.500 0.500 0.795
```


DFT (PBEsol) results for a relaxed ReAg2Hg crystal.

Summary:
DFT formation energy = 838 meV per atom
Crystal system = cubic

```
data_ReAg2Hg
_space_group_name_H-M_alt 'F -4 3 m'
_space_group_IT_number 216
_space_group_name_Hall 'F -4 2 3'
_cell_length_a 6.478
_cell_length_b 6.478
_cell_length_c 6.478
_cell_angle_alpha 90.00
_cell_angle_beta 90.00
_cell_angle_gamma 90.00
loop_
_atom_site_label
_atom_site_type_symbol
_atom_site_fract_x
_atom_site_fract_y
_atom_site_fract_z
Re1 Re 0.000 0.000 0.000
Ag1 Ag 0.000 0.000 0.500
Ag2 Ag 0.250 0.250 0.250
Hg1 Hg 0.250 0.250 0.750
```


DFT (PBEsol) results for a relaxed Tl2FeIrW crystal.

Summary:
DFT formation energy = 1858 meV per atom
Crystal system = tetragonal

```
data_Tl2FeIrW
_space_group_name_H-M_alt 'P 4/m m m'
_space_group_IT_number 123
_space_group_name_Hall '-P 4 2'
_cell_length_a 5.082
_cell_length_b 5.082
_cell_length_c 4.685
_cell_angle_alpha 90.00
_cell_angle_beta 90.00
_cell_angle_gamma 90.00
loop_
_atom_site_label
_atom_site_type_symbol
_atom_site_fract_x
_atom_site_fract_y
_atom_site_fract_z
Tl1 Tl 0.000 0.500 0.000
Fe1 Fe 0.000 0.000 0.500
Ir1 Ir 0.000 0.000 0.000
W1 W 0.500 0.500 0.500
```


| no. | uncorrected energy (eV/atom) |
| --- | --- |
| 1 | -8.6014 |
| 2 | -3.7906 |
| 3 | -4.7048 |
| 4 | -6.1842 |
| 5 | -6.0264 |
| 6 | -3.3304 |
| 7 | -3.5614 |
| 8 | -3.6071 |
| 9 | -4.9278 |
| 10 | -7.1877 |
| 11 | -4.2919 |
| 12 | -5.7134 |